YCr2Pt2: optimized geometry, GGA-PBE.

abc: 7.605 7.605 2.847
angles: 90.00 90.00 90.00
Element x y z (fractional)
1 Y 0.000 0.000 0.000
2 Y 0.500 0.500 0.000
3 Cr 0.090 0.410 0.000
4 Cr 0.410 0.910 0.000
5 Cr 0.590 0.090 0.000
6 Cr 0.910 0.590 0.000
7 Pt 0.197 0.697 0.500
8 Pt 0.303 0.197 0.500
9 Pt 0.697 0.803 0.500
10 Pt 0.803 0.303 0.500

## Properties
ΔE to the lowest computed polymorph (eV/f.u.): 0.44
Energy relative to the elements (eV/atom): -0.23
Volume (Å³/atom): 16.5
Magnetic moment (μB per cell): 0.000
Space-group type: P4/mbm, No. 127


Y3CrPt: optimized geometry, GGA-PBE.

abc: 5.017 5.017 5.017
angles: 90.00 90.00 90.00
Element x y z (fractional)
1 Y 0.000 0.000 0.500
2 Y 0.000 0.500 0.000
3 Y 0.500 0.000 0.000
4 Cr 0.000 0.000 0.000
5 Pt 0.500 0.500 0.500

## Properties
ΔE to the lowest computed polymorph (eV/f.u.): 0.00
Energy relative to the elements (eV/atom): 0.31
Volume (Å³/atom): 25.3
Magnetic moment (μB per cell): 0.000
Space-group type: Pm-3m, No. 221